(1)
A geometry-optimized UVTc2 structure. Source: the Alexandria database, functional PBE-GGA.

Calculated values
The density of states at the Fermi level comes out at 1.807 states/eV per atom. The symmetry is Fm-3m. The excess energy over the best structure of this formula in the dataset is 81.8 meV per atom.

Cell lengths 4.531, 4.531, 4.531 Å; angles 60.00, 60.00, 60.00 degrees
Each line ends with the local moment (μB).
Fractional positions:
U (0.000, 0.000, 0.000)  1.29
Tc (0.250, 0.250, 0.250)  0.08
Tc (0.750, 0.750, 0.750)  0.08
V (0.500, 0.500, 0.500)  -0.01

---

(2)
A geometry-optimized PaCdTcRu structure. Source: the Alexandria database, functional PBE-GGA.

Calculated values
The density of states at the Fermi level comes out at 1.216 states/eV per atom. The symmetry is F-43m.

Cell lengths 4.705, 4.705, 4.705 Å; angles 60.00, 60.00, 60.00 degrees
Fractional positions:
Ru (0.750, 0.750, 0.750)
Pa (0.000, 0.000, 0.000)
Tc (0.250, 0.250, 0.250)
Cd (0.500, 0.500, 0.500)

---

Calculated V, 65.8; 73.6 Å³/cell (same order as the records).
Calculated theoretical density, 12.25; 12.23 g/cm³ (same order as the records).
Calculated electronic total energy, -10.305; -7.571 eV/atom (same order as the records).